Pu2Be3ZnSi4: optimized geometry, PBE.

a b c (Å): 3.945 3.945 9.676
angles (deg): 90.00 90.00 90.00
Space group P-4m2 (No. 115)
Unique sites:
Pu1 0.000 0.500 0.237
Be1 0.000 0.500 0.875
Be2 0.500 0.500 0.500
Zn1 0.000 0.000 0.500
Si1 0.000 0.000 0.000
Si2 0.000 0.500 0.646
Si3 0.500 0.500 0.000

Values from the calculation:
The value obtained for the magnetic moment is 11.05 Bohr magnetons per cell. The calculation puts the final energy at -6.58 eV per atom. The value obtained for the uncorrected formation energy is -2.98 eV/f.u.